[1]
Here is a geometry-optimized NaTiSn2S structure from Alexandria via LeMat-Bulk. Energies are from PBE.

Cell lengths 5.3458, 5.3458, 4.6597 Å; angles 90.00, 90.00, 90.00 degrees
Element x y z (fractional)
Na: 0.0000 0.0000 0.0000
Ti: 0.5000 0.5000 0.5000
Sn: 0.0000 0.5000 0.0000
Sn: 0.5000 0.0000 0.0000
S: 0.0000 0.0000 0.5000

Values from the calculation:
For the density of states at the Fermi level, the calculation gives 5.92 states/eV/f.u. The total DFT energy (no corrections) is -3.418 eV/atom. The value obtained for the raw formation energy is 0.852 eV/atom.

---

[2]
Here is a geometry-optimized Na2TiSnS4 structure from Alexandria via LeMat-Bulk. Energies are from PBE.

Cell lengths 9.5670, 7.5255, 5.9161 Å; angles 90.00, 90.00, 90.00 degrees
Element x y z (fractional)
Na: 0.2487 0.1703 0.0000
Na: 0.2513 0.8297 0.5000
Na: 0.7487 0.8297 0.5000
Na: 0.7513 0.1703 0.0000
Ti: 0.0000 0.3428 0.5942
Ti: 0.5000 0.6572 0.0942
Sn: 0.0000 0.6949 0.9692
Sn: 0.5000 0.3051 0.4692
S: 0.0000 0.3567 0.9825
S: 0.0000 0.6451 0.5219
S: 0.2013 0.2002 0.4984
S: 0.2987 0.7998 0.9984
S: 0.5000 0.3549 0.0219
S: 0.5000 0.6433 0.4825
S: 0.7013 0.7998 0.9984
S: 0.7987 0.2002 0.4984

Values from the calculation:
For the density of states at the Fermi level, the calculation gives 0.00 states/eV/f.u. The total DFT energy (no corrections) is -4.915 eV/atom. The value obtained for the raw formation energy is -1.035 eV/atom.

---

[3]
Here is a geometry-optimized NaTl2Sn2S4 structure from Alexandria via LeMat-Bulk. Energies are from PBE.

Cell lengths 7.3711, 7.3711, 7.1924 Å; angles 108.59, 108.59, 41.19 degrees
Element x y z (fractional)
Na: 0.0000 0.0000 0.0000
Tl: 0.1254 0.1254 0.5202
Tl: 0.8746 0.8746 0.4798
Sn: 0.3442 0.3442 0.9304
Sn: 0.6558 0.6558 0.0696
S: 0.2096 0.2096 0.1681
S: 0.4966 0.4966 0.7557
S: 0.5034 0.5034 0.2443
S: 0.7904 0.7904 0.8319

Values from the calculation:
For the density of states at the Fermi level, the calculation gives 1.07 states/eV/f.u. The total DFT energy (no corrections) is -3.833 eV/atom. The value obtained for the raw formation energy is -0.437 eV/atom.

---

[4]
Here is a geometry-optimized Na3Tl3SnS8 structure from Alexandria via LeMat-Bulk. Energies are from PBE.

Cell lengths 8.2051, 8.2051, 8.2051 Å; angles 56.75, 56.75, 56.75 degrees
Element x y z (fractional)
Na: 0.0000 0.5000 0.5000
Na: 0.5000 0.0000 0.5000
Na: 0.5000 0.5000 0.0000
Tl: 0.0000 0.0000 0.5000
Tl: 0.0000 0.5000 0.0000
Tl: 0.5000 0.0000 0.0000
Sn: 0.5000 0.5000 0.5000
S: 0.2408 0.2408 0.2408
S: 0.2572 0.7308 0.7308
S: 0.2692 0.2692 0.7428
S: 0.2692 0.7428 0.2692
S: 0.7308 0.2572 0.7308
S: 0.7308 0.7308 0.2572
S: 0.7428 0.2692 0.2692
S: 0.7592 0.7592 0.7592

Values from the calculation:
The total DFT energy (no corrections) is -3.702 eV/atom. The value obtained for the raw formation energy is -0.497 eV/atom.